{
  "formula": "BaCa2SmAg4",
  "functional": "PBE",
  "state": "optimized geometry",
  "space_group": "R-3m, No. 166",
  "formation_enthalpy_0k_mev_per_atom": -271,
  "e_tot_ev_per_cell": -24.2,
  "cell": [[2.662, 1.537, 9.174], [-2.662, 1.537, 9.174], [0.000, -3.074, 9.174]],
  "species": ["Ba", "Ca", "Ca", "Sm", "Ag", "Ag", "Ag", "Ag"],
  "frac_coords": [[0.000, 0.000, 0.000], [0.244, 0.244, 0.244], [0.756, 0.756, 0.756], [0.500, 0.500, 0.500], [0.130, 0.130, 0.130], [0.389, 0.389, 0.389], [0.611, 0.611, 0.611], [0.870, 0.870, 0.870]]
}

{
  "formula": "Ba2SrCaAg",
  "functional": "PBE",
  "state": "optimized geometry",
  "space_group": "P4/mmm, No. 123",
  "formation_enthalpy_0k_mev_per_atom": -35,
  "e_tot_ev_per_cell": -10.6,
  "cell": [[6.508, 0.000, 0.000], [0.000, 6.508, 0.000], [0.000, 0.000, 6.260]],
  "species": ["Ba", "Ba", "Sr", "Ca", "Ag"],
  "frac_coords": [[0.000, 0.500, 0.000], [0.500, 0.000, 0.000], [0.000, 0.000, 0.500], [0.500, 0.500, 0.500], [0.000, 0.000, 0.000]]
}

{
  "formula": "BaSrCa2Ag4",
  "functional": "PBE",
  "state": "optimized geometry",
  "space_group": "R-3m, No. 166",
  "formation_enthalpy_0k_mev_per_atom": -254,
  "e_tot_ev_per_cell": -21.0,
  "cell": [[2.744, 1.585, 8.992], [-2.744, 1.585, 8.992], [0.000, -3.169, 8.992]],
  "species": ["Ba", "Sr", "Ca", "Ca", "Ag", "Ag", "Ag", "Ag"],
  "frac_coords": [[0.000, 0.000, 0.000], [0.500, 0.500, 0.500], [0.248, 0.248, 0.248], [0.752, 0.752, 0.752], [0.128, 0.128, 0.128], [0.378, 0.378, 0.378], [0.622, 0.622, 0.622], [0.872, 0.872, 0.872]]
}

{
  "formula": "Ba2SrCaAg",
  "functional": "PBE",
  "state": "optimized geometry",
  "space_group": "P4/mmm, No. 123",
  "formation_enthalpy_0k_mev_per_atom": 701,
  "e_tot_ev_per_cell": -6.9,
  "cell": [[6.824, 0.000, 0.000], [0.000, 6.824, 0.000], [0.000, 0.000, 6.741]],
  "species": ["Ba", "Ba", "Sr", "Ca", "Ag"],
  "frac_coords": [[0.000, 0.500, 0.000], [0.500, 0.000, 0.000], [0.000, 0.000, 0.500], [0.000, 0.000, 0.000], [0.500, 0.500, 0.500]]
}

{
  "formula": "Ba2SrCaAg",
  "functional": "PBE",
  "state": "optimized geometry",
  "space_group": "P4/mmm, No. 123",
  "formation_enthalpy_0k_mev_per_atom": -64,
  "e_tot_ev_per_cell": -10.7,
  "cell": [[6.555, 0.000, 0.000], [0.000, 6.555, 0.000], [0.000, 0.000, 6.011]],
  "species": ["Ba", "Ba", "Sr", "Ca", "Ag"],
  "frac_coords": [[0.000, 0.500, 0.000], [0.500, 0.000, 0.000], [0.000, 0.000, 0.500], [0.500, 0.500, 0.500], [0.500, 0.500, 0.000]]
}

{
  "formula": "Ba2CaVAg",
  "functional": "PBE",
  "state": "optimized geometry",
  "space_group": "P4/mmm, No. 123",
  "formation_enthalpy_0k_mev_per_atom": 596,
  "e_tot_ev_per_cell": -14.8,
  "cell": [[6.381, 0.000, 0.000], [0.000, 6.381, 0.000], [0.000, 0.000, 5.165]],
  "species": ["Ba", "Ba", "Ca", "V", "Ag"],
  "frac_coords": [[0.000, 0.500, 0.000], [0.500, 0.000, 0.000], [0.000, 0.000, 0.500], [0.500, 0.500, 0.000], [0.500, 0.500, 0.500]]
}

{
  "formula": "Ba2CaAgW",
  "functional": "PBE",
  "state": "optimized geometry",
  "space_group": "P4/mmm, No. 123",
  "formation_enthalpy_0k_mev_per_atom": 954,
  "e_tot_ev_per_cell": -16.9,
  "cell": [[5.963, 0.000, 0.000], [0.000, 5.963, 0.000], [0.000, 0.000, 5.329]],
  "species": ["Ba", "Ba", "Ca", "Ag", "W"],
  "frac_coords": [[0.000, 0.500, 0.000], [0.500, 0.000, 0.000], [0.000, 0.000, 0.500], [0.500, 0.500, 0.500], [0.500, 0.500, 0.000]]
}

{
  "formula": "BaCaZn2Ag2",
  "functional": "PBE",
  "state": "optimized geometry",
  "space_group": "P-3m1, No. 164",
  "formation_enthalpy_0k_mev_per_atom": -278,
  "e_tot_ev_per_cell": -13.8,
  "cell": [[4.767, 0.000, 0.000], [-2.384, 4.128, 0.000], [0.000, 0.000, 7.949]],
  "species": ["Ba", "Ca", "Zn", "Zn", "Ag", "Ag"],
  "frac_coords": [[0.000, 0.000, 0.000], [0.000, 0.000, 0.500], [0.333, 0.667, 0.302], [0.667, 0.333, 0.698], [0.333, 0.667, 0.698], [0.667, 0.333, 0.302]]
}